Computed, not measured: crystalline SbCl2F5 at its relaxed geometry at the PBE-GGA level of DFT.

Unit cell a=4.1151 b=6.6403 c=6.8488 alpha=89.42 beta=81.64 gamma=80.65
Space group P1 (No. 1)
Inequivalent atoms, fractional coordinates:
Sb 0.0000 0.0000 0.0000 x1
Cl 0.3983 0.5340 0.3777 x1
Cl 0.5995 0.4654 0.6223 x1
F 0.0663 0.7146 0.0325 x1
F 0.0762 0.9628 0.7243 x1
F 0.4999 0.0000 0.0000 x1
F 0.9239 0.0373 0.2756 x1
F 0.9329 0.2854 0.9674 x1

Values from the calculation:
Total magnetic moment = 0.063 μB/f.u.
Calculated volume = 183 Å³ per cell
Formation energy (no corrections) = -1.65 eV per atom